(1)
VASP calculation (PBE-GGA) on a relaxed ZrTl2Pb2 crystal.

a b c (Å): 8.0157 8.0157 4.5310
angles (deg): 90.00 90.00 90.00
Closest atoms and distances in Å follow each position.
Fractional positions:
Tl 0.1653 0.6653 0.5000  6 Pb 3.14-3.36
Tl 0.8347 0.3347 0.5000  6 Pb 3.14-3.36
Tl 0.6653 0.8347 0.5000  6 Pb 3.14-3.36
Tl 0.3347 0.1653 0.5000  6 Pb 3.14-3.36
Zr 0.5000 0.5000 0.0000  4 Pb 3.08
Zr 0.0000 0.0000 0.0000  4 Pb 3.08
Pb 0.8573 0.6427 0.0000  2 Zr 3.08, 6 Tl 3.14-3.36, 1 Pb 3.24
Pb 0.3573 0.8573 0.0000  2 Zr 3.08, 6 Tl 3.14-3.36, 1 Pb 3.24
Pb 0.6427 0.1427 0.0000  2 Zr 3.08, 6 Tl 3.14-3.36, 1 Pb 3.24
Pb 0.1427 0.3573 0.0000  2 Zr 3.08, 6 Tl 3.14-3.36, 1 Pb 3.24

Crystal system = tetragonal
Formation energy = 1.5 eV per formula unit
Magnetic moment = 0.0 μB/cell
SG = P4/mbm, No. 127


(2)
VASP calculation (PBE-GGA) on a relaxed Zr2TlPb crystal.

a b c (Å): 5.4744 5.4744 5.4744
angles (deg): 130.07 130.07 73.30
Closest atoms and distances in Å follow each position.
Fractional positions:
Pb 0.2500 0.7500 0.5000  8 Zr 3.19, 4 Tl 3.27
Zr 0.0000 0.0000 0.0000  4 Tl 3.19, 4 Pb 3.19, 4 Zr 3.27
Zr 0.5000 0.5000 0.0000  4 Pb 3.19, 4 Tl 3.19, 4 Zr 3.27
Tl 0.7500 0.2500 0.5000  8 Zr 3.19, 4 Pb 3.27

Crystal system = tetragonal
Formation energy = -0.4 eV per formula unit
Magnetic moment = 0.0 μB/cell
Energy above the lowest structure with this stoichiometry = 6 meV/atom
SG = I4/mmm, No. 139


(3)
VASP calculation (PBE-GGA) on a relaxed Zr2Tl2Pb crystal.

a b c (Å): 4.2006 4.2006 7.9567
angles (deg): 74.69 74.69 90.00
Closest atoms and distances in Å follow each position.
Fractional positions:
Tl 0.2500 0.7500 0.5000  4 Tl 2.97, 4 Zr 3.13
Tl 0.7500 0.2500 0.5000  4 Tl 2.97, 4 Zr 3.13
Pb 0.0000 0.0000 0.0000  8 Zr 3.27
Zr 0.4072 0.4072 0.1856  1 Zr 2.74
Zr 0.5928 0.5928 0.8144  1 Zr 2.74

Crystal system = tetragonal
Formation energy = 1.2 eV per formula unit
Magnetic moment = 0.0 μB/cell
Energy above the lowest structure with this stoichiometry = 217 meV/atom
SG = I4/mmm, No. 139


(4)
VASP calculation (PBE-GGA) on a relaxed Zr5Tl2Pb crystal.

a b c (Å): 4.5592 4.5592 9.4129
angles (deg): 104.02 104.02 90.00
Closest atoms and distances in Å follow each position.
Fractional positions:
Pb 0.0000 0.0000 0.0000  12 Zr 3.17-3.22
Zr 0.8752 0.3752 0.7503  2 Pb 3.17, 6 Zr 3.17-3.22, 4 Tl 3.17-3.18
Zr 0.3752 0.8752 0.7503  6 Zr 3.17-3.22, 2 Pb 3.17, 4 Tl 3.17-3.18
Zr 0.5000 0.5000 0.0000  8 Zr 3.17, 4 Pb 3.22
Zr 0.6248 0.1248 0.2497  6 Zr 3.17-3.22, 2 Pb 3.17, 4 Tl 3.17-3.18
Zr 0.1248 0.6248 0.2497  2 Pb 3.17, 6 Zr 3.17-3.22, 4 Tl 3.17-3.18
Tl 0.2502 0.2502 0.5005  8 Zr 3.17-3.18, 4 Tl 3.22
Tl 0.7498 0.7498 0.4995  8 Zr 3.17-3.18, 4 Tl 3.22

Crystal system = tetragonal
Formation energy = -0.9 eV per formula unit
Magnetic moment = 0.0 μB/cell
SG = I4/mmm, No. 139


(5)
VASP calculation (PBE-GGA) on a relaxed Zr8Tl2Pb crystal.

a b c (Å): 5.3647 8.0201 8.0201
angles (deg): 120.50 103.07 103.07
Closest atoms and distances in Å follow each position.
Fractional positions:
Zr 0.5000 0.2185 0.7815  2 Tl 2.95, 1 Pb 3.04, 2 Zr 3.25
Zr 0.8378 0.9045 0.6840  5 Zr 2.93-3.25, 2 Tl 3.08-3.09
Zr 0.8378 0.6840 0.9045  5 Zr 2.93-3.25, 2 Tl 3.08-3.09
Zr 0.1622 0.3160 0.0955  5 Zr 2.93-3.25, 2 Tl 3.08-3.09
Zr 0.1622 0.0955 0.3160  5 Zr 2.93-3.25, 2 Tl 3.08-3.09
Zr 0.2913 0.5854 0.5854  4 Zr 2.78-3.10, 1 Pb 2.96, 2 Tl 3.04
Zr 0.7087 0.4146 0.4146  4 Zr 2.78-3.10, 1 Pb 2.96, 2 Tl 3.04
Zr 0.5000 0.7815 0.2185  2 Tl 2.95, 1 Pb 3.04, 2 Zr 3.25
Pb 0.5000 0.0000 0.0000  4 Zr 2.96-3.04
Tl 0.0000 0.6940 0.3060  8 Zr 2.95-3.09
Tl 0.0000 0.3060 0.6940  8 Zr 2.95-3.09

Crystal system = monoclinic
Formation energy = 0.8 eV per formula unit
Magnetic moment = 0.0 μB/cell
SG = C2/m, No. 12


(6)
VASP calculation (PBE-GGA) on a relaxed ZrTlPb2 crystal.

a b c (Å): 4.0652 4.0652 6.4492
angles (deg): 90.00 90.00 90.00
Closest atoms and distances in Å follow each position.
Fractional positions:
Zr 0.5000 0.5000 0.7638  6 Pb 3.17-3.25, 4 Tl 3.33
Pb 0.0000 0.0000 0.9728  1 Tl 3.02, 4 Zr 3.17
Pb 0.5000 0.5000 0.2596  2 Zr 3.20-3.25, 4 Tl 3.28, 4 Pb 3.42
Tl 0.0000 0.0000 0.5038  5 Pb 3.02-3.28, 4 Zr 3.33

Crystal system = tetragonal
Formation energy = 0.3 eV per formula unit
Magnetic moment = 0.0 μB/cell
Energy above the lowest structure with this stoichiometry = 97 meV/atom
SG = P4mm, No. 99


(7)
VASP calculation (PBE-GGA) on a relaxed ZrTlPb2 crystal.

a b c (Å): 4.0362 4.0363 6.5779
angles (deg): 90.00 90.00 90.00
Closest atoms and distances in Å follow each position.
Fractional positions:
Pb 0.0000 0.0000 0.9826  1 Pb 3.06, 4 Zr 3.24, 4 Tl 3.35
Pb 0.0000 0.0000 0.5174  1 Pb 3.06, 4 Zr 3.24, 4 Tl 3.35
Zr 0.5000 0.5000 0.7500  8 Pb 3.24, 2 Tl 3.29
Tl 0.5000 0.5000 0.2500  2 Zr 3.29, 8 Pb 3.35

Crystal system = tetragonal
Formation energy = 0.1 eV per formula unit
Magnetic moment = 0.0 μB/cell
Energy above the lowest structure with this stoichiometry = 45 meV/atom
SG = P4/mmm, No. 123


(8)
VASP calculation (PBE-GGA) on a relaxed Zr2TlPb2 crystal.

a b c (Å): 7.8427 7.8427 4.1858
angles (deg): 90.00 90.00 90.00
Closest atoms and distances in Å follow each position.
Fractional positions:
Tl 0.0000 0.0000 0.0000  4 Zr 3.03
Tl 0.5000 0.5000 0.0000  4 Zr 3.03
Zr 0.8594 0.6406 0.0000  6 Pb 3.02-3.18, 2 Tl 3.03, 1 Zr 3.12
Zr 0.1406 0.3594 0.0000  6 Pb 3.02-3.18, 2 Tl 3.03, 1 Zr 3.12
Zr 0.6406 0.1406 0.0000  6 Pb 3.02-3.18, 2 Tl 3.03, 1 Zr 3.12
Zr 0.3594 0.8594 0.0000  6 Pb 3.02-3.18, 2 Tl 3.03, 1 Zr 3.12
Pb 0.8367 0.3367 0.5000  6 Zr 3.02-3.18
Pb 0.3367 0.1633 0.5000  6 Zr 3.02-3.18
Pb 0.6633 0.8367 0.5000  6 Zr 3.02-3.18
Pb 0.1633 0.6633 0.5000  6 Zr 3.02-3.18

Crystal system = tetragonal
Formation energy = -0.2 eV per formula unit
Magnetic moment = 0.1 μB/cell
Energy above the lowest structure with this stoichiometry = 0 meV/atom
SG = P4/mbm, No. 127